# 1
## HgP2Se (PBE-GGA)

Data for an optimized crystal structure of HgP2Se.

Summary:
M_tot in μB per formula unit: 0.0
Raw formation energy in eV per atom: 0.43
Distance to the lowest polymorph of the same formula in eV per formula unit: 1.25

```
HgP2Se
1.0
6.590 -0.046 -0.028
5.501 3.629 -0.028
5.501 1.630 3.242
Se Hg P
1 1 2
Cartesian
4.398 1.303 0.797
13.193 3.910 2.390
8.842 2.620 1.602
17.544 5.199 3.178
```

***

# 2
## HgP2Se (PBE-GGA)

Data for an optimized crystal structure of HgP2Se.

Summary:
M_tot in μB per formula unit: 0.0
Raw formation energy in eV per atom: 0.70
Distance to the lowest polymorph of the same formula in eV per formula unit: 2.31

```
HgP2Se
1.0
3.051 -0.002 0.000
-1.338 2.742 0.000
0.000 0.000 9.535
P Hg Se
2 1 1
Cartesian
0.000 0.000 0.408
0.000 0.000 4.360
0.856 1.370 7.151
0.856 1.370 2.384
```

***

# 3
## HgPSe2 (PBE-GGA)

Data for an optimized crystal structure of HgPSe2.

Summary:
M_tot in μB per formula unit: 0.0
Raw formation energy in eV per atom: 0.22
Distance to the lowest polymorph of the same formula in eV per formula unit: 0.72

```
HgPSe2
1.0
3.775 0.000 0.000
0.000 2.806 -0.024
0.000 0.082 8.542
Se P Hg
2 1 1
Cartesian
0.000 0.703 0.348
1.888 0.767 6.267
1.888 0.717 2.002
0.000 0.742 4.173
```

***

# 4
## HgP2Se (PBE-GGA)

Data for an optimized crystal structure of HgP2Se.

Summary:
M_tot in μB per formula unit: 0.0
Raw formation energy in eV per atom: 0.41
Distance to the lowest polymorph of the same formula in eV per formula unit: 1.17

```
HgP2Se
1.0
-1.656 -2.055 1.221
2.802 -0.770 -0.114
1.661 4.566 9.943
P Se Hg
2 1 1
Cartesian
0.103 0.284 0.619
0.911 -0.483 2.577
0.789 2.168 4.721
1.834 2.055 8.104
```

***

# 5
## HgP2Se (PBE-GGA)

Data for an optimized crystal structure of HgP2Se.

Summary:
M_tot in μB per formula unit: 0.4
Raw formation energy in eV per atom: 0.63
Distance to the lowest polymorph of the same formula in eV per formula unit: 2.06

```
HgP2Se
1.0
3.614 0.000 0.000
0.000 7.418 0.000
0.000 0.000 3.621
Se P Hg
1 2 1
Cartesian
1.807 0.000 1.810
0.000 0.000 0.000
1.807 3.709 0.000
0.000 3.709 1.810
```

***

# 6
## HgP2Se (PBE-GGA)

Data for an optimized crystal structure of HgP2Se.

Summary:
M_tot in μB per formula unit: 0.0
Raw formation energy in eV per atom: 0.80
Distance to the lowest polymorph of the same formula in eV per formula unit: 2.73

```
HgP2Se
1.0
-0.577 -3.910 -2.606
-1.805 -3.910 1.966
-4.354 -1.444 -1.169
Se P Hg
1 2 1
Cartesian
0.000 0.000 0.000
-5.052 -6.948 -1.357
-1.684 -2.316 -0.452
-3.368 -4.632 -0.905
```

***

# 7
## HgPSe2 (PBE-GGA)

Data for an optimized crystal structure of HgPSe2.

Summary:
M_tot in μB per formula unit: 0.0
Raw formation energy in eV per atom: 0.19
Distance to the lowest polymorph of the same formula in eV per formula unit: 0.61

```
HgPSe2
1.0
1.709 5.251 0.012
-1.709 5.251 0.012
0.000 0.098 6.019
P Se Hg
1 2 1
Cartesian
0.000 7.713 5.664
0.000 0.748 5.069
0.000 2.629 1.378
0.000 4.907 2.974
```

***

# 8
## HgP2Se6 (PBE-GGA)

Data for an optimized crystal structure of HgP2Se6.

Summary:
M_tot in μB per formula unit: 0.0
Raw formation energy in eV per atom: 0.22
Distance to the lowest polymorph of the same formula in eV per formula unit: 2.31

```
HgP2Se6
1.0
7.793 0.000 0.000
0.000 5.803 -3.351
0.000 0.000 6.701
Se P Hg
6 2 1
Cartesian
5.862 3.812 3.351
1.931 4.808 -1.626
1.931 1.992 0.000
5.862 0.996 1.725
5.862 0.996 4.976
1.931 4.808 1.626
7.155 1.934 3.351
0.638 3.869 0.000
0.000 0.000 0.000
```

***

# 9
## HgP2Se (PBE-GGA)

Data for an optimized crystal structure of HgP2Se.

Summary:
M_tot in μB per formula unit: 0.0
Raw formation energy in eV per atom: 0.45
Distance to the lowest polymorph of the same formula in eV per formula unit: 1.34

```
HgP2Se
1.0
3.637 0.000 0.000
0.000 3.637 0.000
0.000 0.000 7.864
Hg P Se
1 2 1
Cartesian
1.819 1.819 5.898
0.000 0.000 3.019
0.000 0.000 0.913
1.819 1.819 1.966
```

***

# 10
## HgPSe2 (PBE-GGA)

Data for an optimized crystal structure of HgPSe2.

Summary:
M_tot in μB per formula unit: 0.0
Raw formation energy in eV per atom: 0.68
Distance to the lowest polymorph of the same formula in eV per formula unit: 2.56

```
HgPSe2
1.0
0.000 3.445 3.445
3.445 0.000 3.445
3.445 3.445 0.000
Se Hg P
2 1 1
Cartesian
0.000 0.000 0.000
1.722 1.722 1.722
3.445 3.445 3.445
5.167 5.167 5.167
```

***

# 11
## HgP2Se (PBE-GGA)

Data for an optimized crystal structure of HgP2Se.

Summary:
M_tot in μB per formula unit: 0.0
Raw formation energy in eV per atom: 0.25
Distance to the lowest polymorph of the same formula in eV per formula unit: 0.51

```
HgP2Se
1.0
-2.611 -4.651 4.861
-4.530 -5.145 2.255
2.375 -3.941 -1.003
Se P Hg
1 2 1
Cartesian
-2.560 -7.067 3.224
-0.211 -0.612 0.271
-2.704 -9.317 3.757
-1.675 -3.610 1.918
```

***

# 12
## Hg3PSe (PBE-GGA)

Data for an optimized crystal structure of Hg3PSe.

Summary:
M_tot in μB per formula unit: 2.0
Raw formation energy in eV per atom: 0.73
Distance to the lowest polymorph of the same formula in eV per formula unit: 2.28

```
Hg3PSe
1.0
5.521 0.000 0.000
0.000 5.521 0.000
0.000 0.000 5.521
P Hg Se
1 3 1
Cartesian
2.761 2.761 2.761
0.000 2.761 0.000
2.761 0.000 0.000
0.000 0.000 2.761
0.000 0.000 0.000
```

***

Look up the distance to the lowest polymorph of the same formula of the sixth one.
2.73 eV per formula unit

***

Which value of distance to the lowest polymorph of the same formula does entry 9 give?
1.34 eV per formula unit

***

Number 11 is which compound?
HgP2Se